Entry 1:
VASP calculation (SCAN) on a PBEsol-optimized structure of SrIn2Pd2.

The energy of formation is -0.63 eV per atom. As for the space-group type: I4/mmm, No. 139.

Unit cell a=4.8386 b=4.8386 c=9.9775 alpha=90.00 beta=90.00 gamma=90.00
Fractional positions:
Sr  0.0000  0.0000  0.0000
Sr  0.5000  0.5000  0.5000
In  0.0000  0.0000  0.3566
In  0.0000  0.0000  0.6434
In  0.5000  0.5000  0.1434
In  0.5000  0.5000  0.8566
Pd  0.0000  0.5000  0.2500
Pd  0.0000  0.5000  0.7500
Pd  0.5000  0.0000  0.2500
Pd  0.5000  0.0000  0.7500

Entry 2:
VASP calculation (SCAN) on a PBEsol-optimized structure of TaIn3Pd.

The energy of formation is 0.98 eV per atom. As for the space-group type: Pm-3m, No. 221.

Unit cell a=5.2445 b=5.2445 c=5.2445 alpha=90.00 beta=90.00 gamma=90.00
Fractional positions:
Ta  0.0000  0.0000  0.0000
In  0.0000  0.0000  0.5000
In  0.0000  0.5000  0.0000
In  0.5000  0.0000  0.0000
Pd  0.5000  0.5000  0.5000

Entry 3:
VASP calculation (SCAN) on a PBEsol-optimized structure of Tb11In9Pd4.

The energy of formation is -0.83 eV per atom. As for the space-group type: Cmmm, No. 65.

Unit cell a=13.0334 b=13.0334 c=3.6286 alpha=90.00 beta=90.00 gamma=112.73
Fractional positions:
Tb  0.0000  0.0000  0.0000
Tb  0.0706  0.4136  0.0000
Tb  0.1608  0.8392  0.0000
Tb  0.3078  0.3078  0.0000
Tb  0.3719  0.6281  0.0000
Tb  0.4136  0.0706  0.0000
Tb  0.5864  0.9294  0.0000
Tb  0.6281  0.3719  0.0000
Tb  0.6922  0.6922  0.0000
Tb  0.8392  0.1608  0.0000
Tb  0.9294  0.5864  0.0000
In  0.0735  0.2162  0.5000
In  0.1586  0.6326  0.5000
In  0.2162  0.0735  0.5000
In  0.3674  0.8414  0.5000
In  0.5000  0.5000  0.5000
In  0.6326  0.1586  0.5000
In  0.7838  0.9265  0.5000
In  0.8414  0.3674  0.5000
In  0.9265  0.7838  0.5000
Pd  0.2463  0.4485  0.5000
Pd  0.4485  0.2463  0.5000
Pd  0.5515  0.7537  0.5000
Pd  0.7537  0.5515  0.5000

Entry 4:
VASP calculation (SCAN) on a PBEsol-optimized structure of TbInPd2.

The energy of formation is -0.87 eV per atom. As for the space-group type: Fm-3m, No. 225.

Unit cell a=6.6919 b=6.6919 c=6.6919 alpha=90.00 beta=90.00 gamma=90.00
Fractional positions:
Tb  0.0000  0.0000  0.0000
Tb  0.0000  0.5000  0.5000
Tb  0.5000  0.0000  0.5000
Tb  0.5000  0.5000  0.0000
In  0.0000  0.0000  0.5000
In  0.0000  0.5000  0.0000
In  0.5000  0.0000  0.0000
In  0.5000  0.5000  0.5000
Pd  0.2500  0.2500  0.2500
Pd  0.2500  0.2500  0.7500
Pd  0.2500  0.7500  0.2500
Pd  0.2500  0.7500  0.7500
Pd  0.7500  0.2500  0.2500
Pd  0.7500  0.2500  0.7500
Pd  0.7500  0.7500  0.2500
Pd  0.7500  0.7500  0.7500

Entry 5:
VASP calculation (SCAN) on a PBEsol-optimized structure of TmInPd.

The energy of formation is -0.93 eV per atom. As for the space-group type: P-62m, No. 189.

Unit cell a=7.4940 b=7.4940 c=3.7911 alpha=90.00 beta=90.00 gamma=120.00
Fractional positions:
Tm  0.0000  0.4081  0.0000
Tm  0.4081  0.0000  0.0000
Tm  0.5919  0.5919  0.0000
In  0.0000  0.7400  0.5000
In  0.2600  0.2600  0.5000
In  0.7400  0.0000  0.5000
Pd  0.0000  0.0000  0.0000
Pd  0.3333  0.6667  0.5000
Pd  0.6667  0.3333  0.5000

Entry 6:
VASP calculation (SCAN) on a PBEsol-optimized structure of Tm2InPd2.

The energy of formation is -1.00 eV per atom. As for the space-group type: P4/mbm, No. 127.

Unit cell a=7.5518 b=7.5518 c=3.5893 alpha=90.00 beta=90.00 gamma=90.00
Fractional positions:
Tm  0.1719  0.3281  0.0000
Tm  0.3281  0.8281  0.0000
Tm  0.6719  0.1719  0.0000
Tm  0.8281  0.6719  0.0000
In  0.0000  0.0000  0.5000
In  0.5000  0.5000  0.5000
Pd  0.1287  0.6287  0.5000
Pd  0.3713  0.1287  0.5000
Pd  0.6287  0.8713  0.5000
Pd  0.8713  0.3713  0.5000

Entry 7:
VASP calculation (SCAN) on a PBEsol-optimized structure of TmIn2Pd.

The energy of formation is -0.76 eV per atom. As for the space-group type: I4mm, No. 107.

Unit cell a=10.5714 b=10.5714 c=10.5714 alpha=100.48 beta=100.48 gamma=129.51
Fractional positions:
Tm  0.0000  0.0000  0.0000
Tm  0.0895  0.0895  0.4037
Tm  0.0895  0.6858  0.0000
Tm  0.1227  0.4023  0.7204
Tm  0.4023  0.1227  0.7204
Tm  0.4023  0.6820  0.2796
Tm  0.4744  0.4744  0.0000
Tm  0.6820  0.4023  0.2796
Tm  0.6858  0.0895  0.0000
Tm  0.6858  0.6858  0.5963
In  0.1074  0.1074  0.7414
In  0.1074  0.3660  0.0000
In  0.2575  0.8750  0.3825
In  0.2809  0.4876  0.4914
In  0.2809  0.7895  0.7933
In  0.3660  0.1074  0.0000
In  0.3660  0.3660  0.2586
In  0.4876  0.2809  0.4914
In  0.4876  0.9962  0.2067
In  0.4925  0.8750  0.6175
In  0.5670  0.7296  0.8373
In  0.7296  0.5670  0.8373
In  0.7296  0.8923  0.1627
In  0.7895  0.2809  0.7933
In  0.7895  0.9962  0.5086
In  0.8750  0.2575  0.3825
In  0.8750  0.4925  0.6175
In  0.8923  0.7296  0.1627
In  0.9962  0.4876  0.2067
In  0.9962  0.7895  0.5086
Pd  0.0357  0.2487  0.2129
Pd  0.0357  0.8228  0.7871
Pd  0.1250  0.6250  0.5000
Pd  0.2487  0.0357  0.2129
Pd  0.3813  0.3813  0.6777
Pd  0.3813  0.7036  0.0000
Pd  0.6250  0.1250  0.5000
Pd  0.7036  0.3813  0.0000
Pd  0.7036  0.7036  0.3223
Pd  0.8228  0.0357  0.7871

Entry 8:
VASP calculation (SCAN) on a PBEsol-optimized structure of Y2InPd2.

The energy of formation is -0.66 eV per atom. As for the space-group type: I4/mmm, No. 139.

Unit cell a=3.7466 b=3.7466 c=16.4470 alpha=90.00 beta=90.00 gamma=90.00
Fractional positions:
Y  0.0000  0.0000  0.1197
Y  0.0000  0.0000  0.8803
Y  0.5000  0.5000  0.3803
Y  0.5000  0.5000  0.6197
In  0.0000  0.0000  0.5000
In  0.5000  0.5000  0.0000
Pd  0.0000  0.5000  0.2500
Pd  0.0000  0.5000  0.7500
Pd  0.5000  0.0000  0.2500
Pd  0.5000  0.0000  0.7500

Look up the energy of formation of the eighth one.
-0.66 eV per atom

Among the records above, which one has the highest energy of formation?
TaIn3Pd

Which value of energy of formation does entry 1 give?
-0.63 eV per atom